[1]
{
  "formula": "ZrFeS2Cl",
  "functional": "PBE",
  "state": "relaxed",
  "lattice": [[-2.934, 1.177, -3.881], [1.562, -4.093, -2.422], [-3.703, -2.602, 2.009]],
  "species": ["Cl", "Zr", "S", "S", "Fe"],
  "frac_coords": [[0.000, 0.000, 0.500], [0.000, 0.000, 0.000], [0.500, 0.000, 0.000], [0.000, 0.500, 0.000], [0.500, 0.500, 0.500]]
}

***

[2]
{
  "formula": "ZrFeSCl2",
  "functional": "PBE",
  "state": "relaxed",
  "lattice": [[-2.130, -0.723, 4.560], [2.319, -4.510, 0.368], [3.908, 2.187, 2.172]],
  "species": ["Fe", "Zr", "Cl", "Cl", "S"],
  "frac_coords": [[0.500, 0.500, 0.500], [0.000, 0.000, 0.000], [0.500, 0.000, 0.000], [0.000, 0.500, 0.000], [0.000, 0.000, 0.500]]
}

***

Which ΔE_f (raw) belongs to each record? In order, -5.7; -7.3 kcal/mol of atoms.